SrPrCoO4 | PBE with a Hubbard U | optimized geometry

## Properties
- E_tot (eV/cell) = -95.59
- total moment (μB/cell) = 4.00

Cell: 3.8353 3.8353 12.5493 Å, 90.00 90.00 90.00°
Atoms (fractional coordinates):
Sr (0.0000, 0.0000, 0.0000)
Sr (0.5000, 0.5000, 0.5000)
Pr (0.0000, 0.0000, 0.7177)
Pr (0.5000, 0.5000, 0.2177)
Co (0.0000, 0.0000, 0.3604)
Co (0.5000, 0.5000, 0.8604)
O (0.0000, 0.0000, 0.1948)
O (0.0000, 0.0000, 0.5300)
O (0.0000, 0.5000, 0.3502)
O (0.0000, 0.5000, 0.8502)
O (0.5000, 0.0000, 0.3502)
O (0.5000, 0.0000, 0.8502)
O (0.5000, 0.5000, 0.0300)
O (0.5000, 0.5000, 0.6948)